Entry 1:
# CuMoCl6 PBE optimized geometry
# SG = No. 12
# Formation energy without anion corrections = -0.693 eV/atom
# Final energy = -3.9440 eV/atom
data_CuMoCl6
_chemical_formula_sum 'Cu1 Mo1 Cl6'
_space_group_name_H-M_alt 'P 1'
_space_group_IT_number 1
_space_group_name_Hall 'P 1'
_cell_length_a 6.6070
_cell_length_b 6.5861
_cell_length_c 6.6980
_cell_angle_alpha 60.55
_cell_angle_beta 77.17
_cell_angle_gamma 63.14
loop_
_atom_site_label
_atom_site_fract_x
_atom_site_fract_y
_atom_site_fract_z
Cu1 0.5000 0.5000 0.0000
Cl1 0.2560 0.6017 0.2815
Cl2 0.7943 0.7954 0.0000
Cl3 0.7440 0.3983 0.7185
Cl4 0.2057 0.2046 0.0000
Cl5 0.7440 0.1168 0.2815
Cl6 0.2560 0.8832 0.7185
Mo1 0.0000 0.0000 0.0000

Entry 2:
# GeBiSe2N PBE optimized geometry
# SG = No. 123
# Formation energy without anion corrections = 0.443 eV/atom
# Final energy = -4.3159 eV/atom
data_GeBiSe2N
_chemical_formula_sum 'Ge1 Bi1 Se2 N1'
_space_group_name_H-M_alt 'P 1'
_space_group_IT_number 1
_space_group_name_Hall 'P 1'
_cell_length_a 5.3005
_cell_length_b 5.3005
_cell_length_c 3.6378
_cell_angle_alpha 90.00
_cell_angle_beta 90.00
_cell_angle_gamma 90.00
loop_
_atom_site_label
_atom_site_fract_x
_atom_site_fract_y
_atom_site_fract_z
Se1 0.5000 0.0000 0.0000
Se2 0.0000 0.5000 0.0000
Bi1 0.5000 0.5000 0.5000
Ge1 0.0000 0.0000 0.0000
N1 0.0000 0.0000 0.5000

Entry 3:
# In3Br5 PBE optimized geometry
# SG = No. 193
# Formation energy without anion corrections = -0.548 eV/atom
# Final energy = -2.6206 eV/atom
data_In3Br5
_chemical_formula_sum 'In6 Br10'
_space_group_name_H-M_alt 'P 1'
_space_group_IT_number 1
_space_group_name_Hall 'P 1'
_cell_length_a 8.4950
_cell_length_b 8.4950
_cell_length_c 8.0317
_cell_angle_alpha 90.00
_cell_angle_beta 90.00
_cell_angle_gamma 120.00
loop_
_atom_site_label
_atom_site_fract_x
_atom_site_fract_y
_atom_site_fract_z
In1 0.0000 0.4025 0.7500
In2 0.5975 0.0000 0.2500
In3 0.0000 0.5975 0.2500
In4 0.5975 0.5975 0.7500
In5 0.4025 0.4025 0.2500
In6 0.4025 0.0000 0.7500
Br1 0.2464 0.0000 0.2500
Br2 0.6667 0.3333 0.0000
Br3 0.0000 0.2464 0.2500
Br4 0.2464 0.2464 0.7500
Br5 0.0000 0.7536 0.7500
Br6 0.7536 0.7536 0.2500
Br7 0.3333 0.6667 0.0000
Br8 0.3333 0.6667 0.5000
Br9 0.7536 0.0000 0.7500
Br10 0.6667 0.3333 0.5000

Computed total moment, in the same sequence as the records: 0.27 0.00 0.00 μB per atom.